Computed, not measured: crystalline SrBiH6Ir2 at its relaxed geometry at the PBE-GGA level of DFT.

Calculated values
Total magnetic moment in μB/cell: 0.0
Raw total energy in eV per atom: -4.55

Structure (CIF):
```
data_SrBiH6Ir2
_cell_length_a 7.6255
_cell_length_b 12.5258
_cell_length_c 4.9826
_cell_angle_alpha 90.00
_cell_angle_beta 90.02
_cell_angle_gamma 90.00
_space_group_name_H-M_alt 'C 1 2/c 1'
_space_group_IT_number 15
loop_
_space_group_symop_operation_xyz
'x,y,z'
'-x,-y,-z'
'-x,y,-z+1/2'
'x,-y,z+1/2'
'x+1/2,y+1/2,z'
'-x+1/2,-y+1/2,-z'
'-x+1/2,y+1/2,-z+1/2'
'x+1/2,-y+1/2,z+1/2'
loop_
_atom_site_label
_atom_site_type_symbol
_atom_site_fract_x
_atom_site_fract_y
_atom_site_fract_z
_atom_site_occupancy
Sr1 Sr 0.0000 0.1828 0.2500 1
Bi1 Bi 0.0000 0.4168 0.7500 1
H1 H 0.1240 0.0004 0.0008 1
H2 H 0.2403 0.3242 0.0416 1
H3 H 0.2400 0.3246 0.4593 1
Ir1 Ir 0.2305 0.0770 0.7501 1
```